VASP calculation (meta-GGA SCAN) on a PBEsol-optimized structure of KTa3B.

Values from the calculation:
Raw total energy in eV/f.u.: -209.65
Density of states at the Fermi level in states/eV per atom: 1.0270

Geometry as POSCAR:
```
KTa3B
1.0
4.521 0.000 0.000
0.000 4.521 0.000
0.000 0.000 4.521
K Ta B
1 3 1
Cartesian
0.000 0.000 0.000
0.000 2.261 2.261
2.261 0.000 2.261
2.261 2.261 0.000
2.261 2.261 2.261
```